Compound: CuNi3N
Source: Alexandria via LeMat-Bulk
Functional: PBE-GGA
Structure: relaxed

POSCAR file:
```
CuNi3N
1.0
4.202 0.000 0.596
0.000 5.433 0.000
-0.807 0.000 4.414
Ni N Cu
6 2 2
Direct
0.748 0.002 0.185
0.252 0.502 0.815
0.232 0.750 0.333
0.252 0.998 0.815
0.748 0.498 0.185
0.768 0.250 0.667
0.485 0.750 0.018
0.515 0.250 0.982
0.768 0.750 0.662
0.232 0.250 0.338
```

Calculated values
V ... 10.3 Å³ per atom
Energy above the lowest structure with this stoichiometry ... 138.8 meV/atom
VASP energy ... -0.4281 Ry/atom
D(E_F) ... 0.85 states/eV per atom
Uncorrected formation energy ... 62.0 kJ/mol of formula units